Pm3Pr8Y2 after structural relaxation, computed with PBE-GGA.

Cell lengths 6.2716, 8.9812, 8.9812 Å; angles 83.87, 73.10, 73.10 degrees
Last column: nearest neighbours and their distance in Å.
Atoms (fractional coordinates):
Pm1 0.5000 0.0000 0.0000  2 Pr 3.24, 2 Y 3.60
Pm2 0.0000 0.2459 0.7541  8 Pr 3.52-3.94
Pm3 0.0000 0.7541 0.2459  8 Pr 3.52-3.94
Pr1 0.2124 0.5568 0.5568  5 Pr 3.32-3.63, 2 Y 3.34-3.35, 2 Pm 3.53
Pr2 0.7876 0.4432 0.4432  5 Pr 3.32-3.63, 2 Y 3.34-3.35, 2 Pm 3.53
Pr3 0.9500 0.1509 0.1509  3 Pm 3.24-3.52, 1 Y 3.45, 1 Pr 3.63
Pr4 0.0500 0.8491 0.8491  3 Pm 3.24-3.52, 1 Y 3.45, 1 Pr 3.63
Pr5 0.6718 0.5718 0.0835  2 Y 3.48-3.69, 4 Pr 3.52-3.82, 2 Pm 3.64-3.74
Pr6 0.6718 0.0835 0.5718  2 Y 3.48-3.69, 4 Pr 3.52-3.82, 2 Pm 3.64-3.74
Pr7 0.3282 0.9165 0.4282  2 Y 3.48-3.69, 4 Pr 3.52-3.82, 2 Pm 3.64-3.74
Pr8 0.3282 0.4282 0.9165  2 Y 3.48-3.69, 4 Pr 3.52-3.82, 2 Pm 3.64-3.74
Y1 0.3559 0.2884 0.2884  8 Pr 3.34-3.69, 1 Pm 3.60
Y2 0.6441 0.7116 0.7116  8 Pr 3.34-3.69, 1 Pm 3.60

- SG: No. 12
- Total moment: 0.00 μB/atom
- VASP energy: -4.879 eV/atom
- E above lowest polymorph: 0 meV/atom

Pm4PrY7 after structural relaxation, computed with PBE-GGA.

Cell lengths 6.9087, 8.8660, 9.1634 Å; angles 84.04, 94.70, 47.66 degrees
Last column: nearest neighbours and their distance in Å.
Atoms (fractional coordinates):
Pm1 0.5479 0.6388 0.2853  8 Y 3.36-3.73, 1 Pr 3.42, 2 Pm 3.56-3.59
Pm2 0.4521 0.3612 0.7147  8 Y 3.36-3.73, 1 Pr 3.42, 2 Pm 3.56-3.59
Pm3 0.7787 0.8367 0.6914  7 Y 3.43-3.71, 2 Pm 3.56-3.59
Pm4 0.2213 0.1633 0.3086  7 Y 3.43-3.71, 2 Pm 3.56-3.59
Pr1 0.0000 0.0000 0.0000  2 Pm 3.42, 4 Y 3.45-3.54
Y1 0.7379 0.5126 0.9514  5 Y 3.42-3.62, 4 Pm 3.42-3.72, 1 Pr 3.54
Y2 0.2621 0.4874 0.0486  5 Y 3.42-3.62, 4 Pm 3.42-3.72, 1 Pr 3.54
Y3 0.9853 0.3227 0.6392  5 Y 3.44-3.76, 5 Pm 3.49-3.85
Y4 0.0147 0.6773 0.3608  5 Y 3.44-3.76, 5 Pm 3.49-3.85
Y5 0.2935 0.8138 0.6165  5 Y 3.32-3.70, 5 Pm 3.36-3.70
Y6 0.5000 0.0000 0.0000  4 Pm 3.43-3.73, 2 Pr 3.45, 4 Y 3.54-3.76
Y7 0.7065 0.1862 0.3835  5 Y 3.32-3.70, 5 Pm 3.36-3.70

- SG: No. 2
- Total moment: 0.00 μB/atom
- VASP energy: -5.673 eV/atom
- E above lowest polymorph: 0 meV/atom

Pm7Pr4Y after structural relaxation, computed with PBE-GGA.

Cell lengths 7.3726, 9.7551, 9.1732 Å; angles 81.20, 90.08, 40.97 degrees
Last column: nearest neighbours and their distance in Å.
Atoms (fractional coordinates):
Pm1 0.7491 0.4996 0.9995  7 Pm 3.62-3.71, 3 Pr 3.63-3.64, 2 Y 3.68-3.69
Pm2 0.2509 0.5004 0.0005  7 Pm 3.62-3.71, 3 Pr 3.63-3.64, 2 Y 3.68-3.69
Pm3 0.9685 0.2797 0.6705  5 Pm 3.62-3.71, 1 Y 3.63, 6 Pr 3.66-3.72
Pm4 0.0315 0.7203 0.3295  5 Pm 3.62-3.71, 1 Y 3.63, 6 Pr 3.66-3.72
Pm5 0.2192 0.7811 0.6686  1 Y 3.63, 6 Pm 3.64-3.71, 5 Pr 3.68-3.70
Pm6 0.5000 0.0000 0.0000  4 Pr 3.64-3.65, 6 Pm 3.64-3.70, 2 Y 3.69
Pm7 0.7808 0.2189 0.3314  1 Y 3.63, 6 Pm 3.64-3.71, 5 Pr 3.68-3.70
Pr1 0.5293 0.7190 0.3307  8 Pm 3.63-3.71, 1 Y 3.64, 3 Pr 3.69-3.71
Pr2 0.4707 0.2810 0.6693  8 Pm 3.63-3.71, 1 Y 3.64, 3 Pr 3.69-3.71
Pr3 0.7213 0.7789 0.6692  8 Pm 3.64-3.72, 4 Pr 3.68-3.71
Pr4 0.2787 0.2211 0.3308  8 Pm 3.64-3.72, 4 Pr 3.68-3.71
Y1 0.0000 0.0000 0.0000  10 Pm 3.63-3.69, 2 Pr 3.64

- SG: No. 2
- Total moment: 0.00 μB/atom
- VASP energy: -4.888 eV/atom
- E above lowest polymorph: 0 meV/atom

Pm2Pr8Y3 after structural relaxation, computed with PBE-GGA.

Cell lengths 5.7923, 7.7745, 11.1172 Å; angles 110.43, 90.00, 90.00 degrees
Last column: nearest neighbours and their distance in Å.
Atoms (fractional coordinates):
Pm1 0.4998 0.2410 0.4805  8 Pr 3.42-3.68
Pm2 0.5002 0.7590 0.5195  8 Pr 3.42-3.68
Pr1 0.0001 0.6718 0.3446  2 Pm 3.42, 4 Pr 3.59
Pr2 0.9999 0.3282 0.6554  2 Pm 3.42, 4 Pr 3.59
Pr3 0.9999 0.1315 0.2630  2 Y 3.52, 2 Pm 3.68, 4 Pr 3.74
Pr4 0.0001 0.8685 0.7370  2 Y 3.52, 2 Pm 3.68, 4 Pr 3.74
Pr5 0.5000 0.5993 0.7911  1 Y 3.17, 1 Pr 3.17
Pr6 0.5000 0.1907 0.7906  1 Y 3.17, 1 Pr 3.17
Pr7 0.5000 0.8093 0.2094  1 Y 3.17, 1 Pr 3.17
Pr8 0.5000 0.4007 0.2089  1 Y 3.17, 1 Pr 3.17
Y1 0.5000 0.0000 0.0000  4 Pr 3.17
Y2 0.0000 0.2837 0.9998  3 Y 3.36-3.64, 6 Pr 3.52-3.63
Y3 0.0000 0.7163 0.0002  3 Y 3.36-3.64, 6 Pr 3.52-3.63

- SG: No. 10
- Total moment: 0.00 μB/atom
- VASP energy: -4.971 eV/atom
- E above lowest polymorph: 178 meV/atom